DFT (PBE) results for LiNi2Pt2 after structural relaxation.

Lattice parameters (Å, degrees): 3.438 3.438 12.502 90.00 90.00 90.00
Space group I4/mmm (No. 139)
Asymmetric unit:
1 Li 0.000 0.000 0.000 [2 per cell]
2 Ni 0.000 0.500 0.250 [4 per cell]
3 Pt 0.000 0.000 0.397 [4 per cell]

Calculated values
The calculation puts the formation energy at 0.036 eV/atom. For the calculated density, the calculation gives 11.564 Mg/m³. The energy relative to the lowest polymorph listed for this composition is 194 meV/atom. As for the density of states at the Fermi level: 4.67 states/eV/f.u.


DFT (PBE) results for Ca3PmH after structural relaxation.

Lattice parameters (Å, degrees): 5.305 5.305 5.305 90.00 90.00 90.00
Space group Pm-3m (No. 221)
Asymmetric unit:
1 Ca 0.000 0.000 0.500 [3 per cell]
2 Pm 0.500 0.500 0.500 [1 per cell]
3 H 0.000 0.000 0.000 [1 per cell]

Calculated values
As for the raw total energy: -0.2085 Ry per atom. For the calculated density, the calculation gives 2.961 Mg/m³. As for the density of states at the Fermi level: 5.74 states/eV/f.u.


DFT (PBE) results for NaZrSe2N after structural relaxation.

Lattice parameters (Å, degrees): 5.346 5.346 4.246 90.00 90.00 90.00
Space group P4/mmm (No. 123)
Asymmetric unit:
1 Na 0.000 0.000 0.000 [1 per cell]
2 Zr 0.500 0.500 0.500 [1 per cell]
3 Se 0.000 0.500 0.500 [2 per cell]
4 N 0.500 0.500 0.000 [1 per cell]

Calculated values
For the calculated density, the calculation gives 3.915 Mg/m³. The energy relative to the lowest polymorph listed for this composition is 0 meV/atom. The value obtained for the formation energy from raw total energies is -2.5 eV per formula unit. As for the density of states at the Fermi level: 1.69 states/eV/f.u.


Q: The highest calculated density belongs to which entry?
A: LiNi2Pt2


Q: Look up the calculated density of the second one.
A: 2.961 Mg/m³